# 1
# SrZnRh

A relaxed SrZnRh crystal (PBEsol, Alexandria via LeMat-Bulk).

Calculated values
For the raw total energy, the calculation gives -4.112 eV per atom. The value obtained for the density of states at the Fermi level is 0.38 states/eV per atom. As for the total magnetization: 0.0 μB/f.u.

abc: 4.2459 4.2459 4.2702
angles: 90.00 90.00 120.00
Space group P-6m2 (No. 187)
Unique sites:
Sr: 0.0000 0.0000 0.0000 (multiplicity 1)
Zn: 0.3333 0.6667 0.5000 (multiplicity 1)
Rh: 0.6667 0.3333 0.5000 (multiplicity 1)


# 2
# SrZnRh2

A relaxed SrZnRh2 crystal (PBEsol, Alexandria via LeMat-Bulk).

Calculated values
For the raw total energy, the calculation gives -4.750 eV per atom. The value obtained for the density of states at the Fermi level is 0.64 states/eV per atom. As for the total magnetization: 0.0 μB/f.u.

abc: 5.828 8.936 2.888
angles: 90.00 116.28 90.00
Space group C2/m (No. 12)
Unique sites:
Sr: 0.000 0.000 0.000 (multiplicity 2)
Zn: 0.000 0.500 0.000 (multiplicity 2)
Rh: 0.250 0.250 0.500 (multiplicity 4)


# 3
# Sr2ZrRh

A relaxed Sr2ZrRh crystal (PBEsol, Alexandria via LeMat-Bulk).

Calculated values
For the raw total energy, the calculation gives -4.743 eV per atom. The value obtained for the density of states at the Fermi level is 0.95 states/eV per atom. For the energy above the most stable polymorph in this dataset, the calculation gives 58 meV/atom. As for the total magnetization: 0.0 μB/f.u.

abc: 3.352 4.904 6.114
angles: 90.00 90.00 90.00
Space group Pmmm (No. 47)
Unique sites:
Sr: 0.000 0.000 0.234 (multiplicity 2)
Zr: 0.500 0.500 0.500 (multiplicity 1)
Rh: 0.500 0.500 0.000 (multiplicity 1)


# 4
# Sr2ZrRh

A relaxed Sr2ZrRh crystal (PBEsol, Alexandria via LeMat-Bulk).

Calculated values
For the raw total energy, the calculation gives -4.801 eV per atom. The value obtained for the density of states at the Fermi level is 1.13 states/eV per atom. For the energy above the most stable polymorph in this dataset, the calculation gives 0 meV/atom. As for the total magnetization: 0.0 μB/f.u.

abc: 7.309 7.309 7.309
angles: 90.00 90.00 90.00
Space group F-43m (No. 216)
Unique sites:
Sr: 0.000 0.000 0.000 (multiplicity 4)
Sr: 0.250 0.250 0.250 (multiplicity 4)
Zr: 0.000 0.000 0.500 (multiplicity 4)
Rh: 0.250 0.250 0.750 (multiplicity 4)


# 5
# Ta8Rh

A relaxed Ta8Rh crystal (PBEsol, Alexandria via LeMat-Bulk).

Calculated values
For the raw total energy, the calculation gives -12.217 eV per atom. The value obtained for the density of states at the Fermi level is 0.87 states/eV per atom. As for the total magnetization: 0.0 μB/f.u.

abc: 9.645 9.645 3.306
angles: 90.00 90.00 90.00
Space group I4/mmm (No. 139)
Unique sites:
Ta: 0.000 0.332 0.000 (multiplicity 8)
Ta: 0.165 0.165 0.500 (multiplicity 8)
Rh: 0.000 0.000 0.000 (multiplicity 2)


# 6
# TaRh

A relaxed TaRh crystal (PBEsol, Alexandria via LeMat-Bulk).

Calculated values
For the raw total energy, the calculation gives -10.668 eV per atom. The value obtained for the density of states at the Fermi level is 1.20 states/eV per atom. As for the total magnetization: 0.0 μB/f.u.

abc: 10.120 2.824 4.790
angles: 90.00 115.32 90.00
Space group C2/m (No. 12)
Unique sites:
Ta: 0.119 0.000 0.290 (multiplicity 4)
Rh: 0.127 0.500 0.795 (multiplicity 4)


# 7
# TaRh

A relaxed TaRh crystal (PBEsol, Alexandria via LeMat-Bulk).

Calculated values
For the raw total energy, the calculation gives -9.494 eV per atom. The value obtained for the density of states at the Fermi level is 0.18 states/eV per atom. As for the total magnetization: 0.0 μB/f.u.

abc: 5.659 5.659 5.659
angles: 90.00 90.00 90.00
Space group F-43m (No. 216)
Unique sites:
Ta: 0.000 0.000 0.000 (multiplicity 4)
Rh: 0.250 0.250 0.250 (multiplicity 4)


# 8
# Ta3Rh2

A relaxed Ta3Rh2 crystal (PBEsol, Alexandria via LeMat-Bulk).

Calculated values
For the raw total energy, the calculation gives -11.139 eV per atom. The value obtained for the density of states at the Fermi level is 0.92 states/eV per atom. As for the total magnetization: 0.0 μB/f.u.

abc: 9.766 9.766 5.042
angles: 90.00 90.00 90.00
Space group P4_2/mnm (No. 136)
Unique sites:
Ta: 0.000 0.000 0.000 (multiplicity 2)
Ta: 0.040 0.363 0.500 (multiplicity 8)
Ta: 0.181 0.819 0.252 (multiplicity 8)
Rh: 0.071 0.266 0.000 (multiplicity 8)
Rh: 0.099 0.099 0.500 (multiplicity 4)